[1]
DFT (PBE) results for a geometry-optimized LiSc structure.

Geometry as POSCAR:
```
LiSc
1.0
5.860 0.000 0.000
0.000 5.928 0.000
0.000 0.000 9.855
Li Sc
8 8
direct
0.135 0.039 0.296
0.211 0.752 0.047
0.289 0.248 0.547
0.365 0.961 0.796
0.635 0.461 0.704
0.711 0.748 0.953
0.789 0.252 0.453
0.865 0.539 0.204
0.001 0.200 0.022
0.110 0.532 0.779
0.390 0.468 0.279
0.499 0.800 0.522
0.501 0.300 0.978
0.610 0.968 0.221
0.890 0.032 0.721
0.999 0.700 0.478
```

- E_tot (Ha/atom) = -0.144
- energy of formation from the pure elements (eV per formula unit) = 0.43

=====

[2]
DFT (PBE) results for a geometry-optimized AsRh2W structure.

Geometry as POSCAR:
```
AsRh2W
1.0
2.887 0.000 0.000
0.000 3.809 0.000
-1.430 0.000 5.512
As Rh W
1 2 1
direct
0.000 0.000 0.000
0.225 0.000 0.452
0.572 0.500 0.146
0.837 0.500 0.674
```

- E_tot (Ha/atom) = -0.301
- energy of formation from the pure elements (eV per formula unit) = -0.51